(1)
# MnPOsRuSeS | the Alexandria database | PBE | relaxed
data_MnPOsRuSeS
_chemical_formula_sum 'Mn1 P1 Os1 Ru1 Se1 S1'
_cell_length_a 4.044
_cell_length_b 4.512
_cell_length_c 5.448
_cell_angle_alpha 111.25
_cell_angle_beta 101.56
_cell_angle_gamma 102.35
_symmetry_space_group_name_H-M 'P 1'
_symmetry_Int_Tables_number 1
loop_
_symmetry_equiv_pos_as_xyz
'x,y,z'
loop_
_atom_site_label
_atom_site_type_symbol
_atom_site_fract_x
_atom_site_fract_y
_atom_site_fract_z
_atom_site_occupancy
Mn1 Mn 0.000 0.000 0.000 1
P1 P 0.998 0.570 0.148 1
Os1 Os 0.558 0.611 0.430 1
Ru1 Ru 0.373 0.474 0.863 1
Se1 Se 0.867 0.170 0.434 1
S1 S 0.463 0.977 0.811 1
# - Energy: -43.158 eV for the cell shown
# - Energy relative to the lowest polymorph listed for this composition: 0.87 eV/f.u.
# - N(E_F): 2.43 states/eV/cell
# - Magnetic moment: 0.0 μB per formula unit


(2)
# MnPOsRuSeS | the Alexandria database | PBE | relaxed
data_MnPOsRuSeS
_chemical_formula_sum 'Mn1 P1 Os1 Ru1 Se1 S1'
_cell_length_a 3.073
_cell_length_b 5.714
_cell_length_c 6.004
_cell_angle_alpha 64.62
_cell_angle_beta 85.16
_cell_angle_gamma 80.47
_symmetry_space_group_name_H-M 'P 1'
_symmetry_Int_Tables_number 1
loop_
_symmetry_equiv_pos_as_xyz
'x,y,z'
loop_
_atom_site_label
_atom_site_type_symbol
_atom_site_fract_x
_atom_site_fract_y
_atom_site_fract_z
_atom_site_occupancy
Mn1 Mn 0.000 0.000 0.000 1
P1 P 0.412 0.260 0.089 1
Os1 Os 0.546 0.479 0.678 1
Ru1 Ru 0.850 0.254 0.369 1
Se1 Se 0.952 0.813 0.694 1
S1 S 0.587 0.700 0.241 1
# - Energy: -43.458 eV for the cell shown
# - Energy relative to the lowest polymorph listed for this composition: 0.57 eV/f.u.
# - N(E_F): 2.89 states/eV/cell
# - Magnetic moment: 1.6 μB per formula unit


(3)
# MnPOsRuSeS | the Alexandria database | PBE | relaxed
data_MnPOsRuSeS
_chemical_formula_sum 'Mn2 P2 Os2 Ru2 Se2 S2'
_cell_length_a 12.140
_cell_length_b 3.421
_cell_length_c 5.426
_cell_angle_alpha 90.00
_cell_angle_beta 115.86
_cell_angle_gamma 90.00
_symmetry_space_group_name_H-M 'C 1 m 1'
_symmetry_Int_Tables_number 8
loop_
_symmetry_equiv_pos_as_xyz
'x,y,z'
'x,-y,z'
'x+1/2,y+1/2,z'
'x+1/2,-y+1/2,z'
loop_
_atom_site_label
_atom_site_type_symbol
_atom_site_fract_x
_atom_site_fract_y
_atom_site_fract_z
_atom_site_occupancy
Mn1 Mn 0.000 0.000 0.000 1
P1 P 0.295 0.500 0.823 1
Os1 Os 0.120 0.500 0.397 1
Ru1 Ru 0.373 0.000 0.141 1
Se1 Se 0.003 0.000 0.553 1
S1 S 0.201 0.000 0.235 1
# - Energy: -88.047 eV for the cell shown
# - Energy relative to the lowest polymorph listed for this composition: 0.00 eV/f.u.
# - N(E_F): 8.44 states/eV/cell
# - Magnetic moment: 2.1 μB per formula unit


(4)
# MnP2OsS | the Alexandria database | PBE | relaxed
data_MnP2OsS
_chemical_formula_sum 'Mn1 P2 Os1 S1'
_cell_length_a 4.430
_cell_length_b 4.430
_cell_length_c 5.344
_cell_angle_alpha 90.00
_cell_angle_beta 90.00
_cell_angle_gamma 90.00
_symmetry_space_group_name_H-M 'P 4/m m m'
_symmetry_Int_Tables_number 123
_symmetry_space_group_name_Hall '-P 4 2'
loop_
_atom_site_label
_atom_site_type_symbol
_atom_site_fract_x
_atom_site_fract_y
_atom_site_fract_z
_atom_site_occupancy
Mn1 Mn 0.000 0.000 0.000 1
P1 P 0.000 0.500 0.500 1
Os1 Os 0.500 0.500 0.500 1
S1 S 0.500 0.500 0.000 1
# - Energy: -31.737 eV for the cell shown
# - Energy relative to the lowest polymorph listed for this composition: 0.00 eV/f.u.
# - N(E_F): 3.04 states/eV/cell
# - Magnetic moment: 4.7 μB per formula unit


(5)
# MnP2OsS | the Alexandria database | PBE | relaxed
data_MnP2OsS
_chemical_formula_sum 'Mn1 P2 Os1 S1'
_cell_length_a 4.298
_cell_length_b 4.298
_cell_length_c 4.234
_cell_angle_alpha 90.00
_cell_angle_beta 90.00
_cell_angle_gamma 90.00
_symmetry_space_group_name_H-M 'P 4/m m m'
_symmetry_Int_Tables_number 123
_symmetry_space_group_name_Hall '-P 4 2'
loop_
_atom_site_label
_atom_site_type_symbol
_atom_site_fract_x
_atom_site_fract_y
_atom_site_fract_z
_atom_site_occupancy
Mn1 Mn 0.000 0.000 0.000 1
P1 P 0.000 0.500 0.000 1
Os1 Os 0.500 0.500 0.500 1
S1 S 0.000 0.000 0.500 1
# - Energy: -30.010 eV for the cell shown
# - Energy relative to the lowest polymorph listed for this composition: 1.73 eV/f.u.
# - N(E_F): 4.47 states/eV/cell
# - Magnetic moment: 0.0 μB per formula unit


(6)
# TiMnPOs2 | the Alexandria database | PBE | relaxed
data_TiMnPOs2
_chemical_formula_sum 'Ti1 Mn1 P1 Os2'
_cell_length_a 4.538
_cell_length_b 4.538
_cell_length_c 4.417
_cell_angle_alpha 90.00
_cell_angle_beta 90.00
_cell_angle_gamma 90.00
_symmetry_space_group_name_H-M 'P 4/m m m'
_symmetry_Int_Tables_number 123
_symmetry_space_group_name_Hall '-P 4 2'
loop_
_atom_site_label
_atom_site_type_symbol
_atom_site_fract_x
_atom_site_fract_y
_atom_site_fract_z
_atom_site_occupancy
Ti1 Ti 0.000 0.000 0.000 1
Mn1 Mn 0.500 0.500 0.500 1
P1 P 0.000 0.000 0.500 1
Os1 Os 0.000 0.500 0.000 1
# - Energy: -35.773 eV for the cell shown
# - N(E_F): 6.63 states/eV/cell
# - Formation energy: 1.83 eV/atom
# - Magnetic moment: 0.3 μB per formula unit


(7)
# UMnP2Os | the Alexandria database | PBE | relaxed
data_UMnP2Os
_chemical_formula_sum 'U2 Mn2 P4 Os2'
_cell_length_a 3.985
_cell_length_b 3.985
_cell_length_c 9.388
_cell_angle_alpha 90.00
_cell_angle_beta 90.00
_cell_angle_gamma 90.00
_symmetry_space_group_name_H-M 'I -4 m 2'
_symmetry_Int_Tables_number 119
_symmetry_space_group_name_Hall 'I -4 -2'
loop_
_atom_site_label
_atom_site_type_symbol
_atom_site_fract_x
_atom_site_fract_y
_atom_site_fract_z
_atom_site_occupancy
U1 U 0.000 0.000 0.000 1
Mn1 Mn 0.000 0.500 0.250 1
P1 P 0.000 0.000 0.377 1
Os1 Os 0.000 0.500 0.750 1
# - Energy: -91.296 eV for the cell shown
# - N(E_F): 10.31 states/eV/cell
# - Formation energy: -0.63 eV/atom
# - Magnetic moment: 0.8 μB per formula unit


(8)
# Pa2MnOs | the Alexandria database | PBE | relaxed
data_Pa2MnOs
_chemical_formula_sum 'Pa8 Mn4 Os4'
_cell_length_a 6.809
_cell_length_b 6.809
_cell_length_c 6.809
_cell_angle_alpha 90.00
_cell_angle_beta 90.00
_cell_angle_gamma 90.00
_symmetry_space_group_name_H-M 'F m -3 m'
_symmetry_Int_Tables_number 225
_symmetry_space_group_name_Hall '-F 4 2 3'
loop_
_atom_site_label
_atom_site_type_symbol
_atom_site_fract_x
_atom_site_fract_y
_atom_site_fract_z
_atom_site_occupancy
Pa1 Pa 0.250 0.250 0.250 1
Mn1 Mn 0.000 0.000 0.000 1
Os1 Os 0.000 0.000 0.500 1
# - Energy: -157.678 eV for the cell shown
# - Energy relative to the lowest polymorph listed for this composition: 0.00 eV/f.u.
# - N(E_F): 24.08 states/eV/cell
# - Formation energy: -0.01 eV/atom
# - Magnetic moment: 0.5 μB per formula unit


(9)
# PaMn9Os2 | the Alexandria database | PBE | relaxed
data_PaMn9Os2
_chemical_formula_sum 'Pa2 Mn18 Os4'
_cell_length_a 8.178
_cell_length_b 8.178
_cell_length_c 4.657
_cell_angle_alpha 90.00
_cell_angle_beta 90.00
_cell_angle_gamma 90.00
_symmetry_space_group_name_H-M 'P 4/m b m'
_symmetry_Int_Tables_number 127
_symmetry_space_group_name_Hall '-P 4 2ab'
loop_
_atom_site_label
_atom_site_type_symbol
_atom_site_fract_x
_atom_site_fract_y
_atom_site_fract_z
_atom_site_occupancy
Pa1 Pa 0.000 0.000 0.000 1
Mn1 Mn 0.000 0.500 0.500 1
Mn2 Mn 0.064 0.218 0.500 1
Mn3 Mn 0.178 0.678 0.233 1
Os1 Os 0.119 0.381 0.000 1
# - Energy: -230.169 eV for the cell shown
# - N(E_F): 29.50 states/eV/cell
# - Formation energy: -0.05 eV/atom
# - Magnetic moment: 2.8 μB per formula unit


(10)
# Pa2Mn16Os | the Alexandria database | PBE | relaxed
data_Pa2Mn16Os
_chemical_formula_sum 'Pa6 Mn48 Os3'
_cell_length_a 8.6222
_cell_length_b 8.6222
_cell_length_c 11.6599
_cell_angle_alpha 90.00
_cell_angle_beta 90.00
_cell_angle_gamma 120.00
_symmetry_space_group_name_H-M 'R 3 m'
_symmetry_Int_Tables_number 160
_symmetry_space_group_name_Hall 'R 3 -2"'
loop_
_atom_site_label
_atom_site_type_symbol
_atom_site_fract_x
_atom_site_fract_y
_atom_site_fract_z
_atom_site_occupancy
Pa1 Pa 0.0000 0.0000 0.0000 1
Pa2 Pa 0.0000 0.0000 0.2894 1
Mn1 Mn 0.0000 0.0000 0.7495 1
Mn2 Mn 0.0012 0.2742 0.6459 1
Mn3 Mn 0.0099 0.5050 0.5092 1
Mn4 Mn 0.1676 0.3351 0.4773 1
Mn5 Mn 0.1687 0.3374 0.1139 1
Os1 Os 0.0000 0.0000 0.5368 1
# - Energy: -532.017 eV for the cell shown
# - N(E_F): 65.89 states/eV/cell
# - Formation energy: -0.02 eV/atom
# - Magnetic moment: 6.3 μB per formula unit


(11)
# Pa2MnOs | the Alexandria database | PBE | relaxed
data_Pa2MnOs
_chemical_formula_sum 'Pa2 Mn1 Os1'
_cell_length_a 4.669
_cell_length_b 4.669
_cell_length_c 3.584
_cell_angle_alpha 90.00
_cell_angle_beta 90.00
_cell_angle_gamma 90.00
_symmetry_space_group_name_H-M 'P 4/m m m'
_symmetry_Int_Tables_number 123
_symmetry_space_group_name_Hall '-P 4 2'
loop_
_atom_site_label
_atom_site_type_symbol
_atom_site_fract_x
_atom_site_fract_y
_atom_site_fract_z
_atom_site_occupancy
Pa1 Pa 0.000 0.500 0.000 1
Mn1 Mn 0.000 0.000 0.500 1
Os1 Os 0.500 0.500 0.500 1
# - Energy: -39.403 eV for the cell shown
# - Energy relative to the lowest polymorph listed for this composition: 0.02 eV/f.u.
# - N(E_F): 5.31 states/eV/cell
# - Formation energy: 0.00 eV/atom
# - Magnetic moment: 0.1 μB per formula unit


(12)
# PuPaMnOs | the Alexandria database | PBE | relaxed
data_PuPaMnOs
_chemical_formula_sum 'Pu4 Pa4 Mn4 Os4'
_cell_length_a 6.789
_cell_length_b 6.789
_cell_length_c 6.789
_cell_angle_alpha 90.00
_cell_angle_beta 90.00
_cell_angle_gamma 90.00
_symmetry_space_group_name_H-M 'F -4 3 m'
_symmetry_Int_Tables_number 216
_symmetry_space_group_name_Hall 'F -4 2 3'
loop_
_atom_site_label
_atom_site_type_symbol
_atom_site_fract_x
_atom_site_fract_y
_atom_site_fract_z
_atom_site_occupancy
Pu1 Pu 0.000 0.000 0.000 1
Pa1 Pa 0.000 0.000 0.500 1
Mn1 Mn 0.250 0.250 0.750 1
Os1 Os 0.250 0.250 0.250 1
# - Energy: -177.266 eV for the cell shown
# - N(E_F): 28.76 states/eV/cell
# - Formation energy: -0.02 eV/atom
# - Magnetic moment: 3.2 μB per formula unit


- What is the formula in the second record?
  MnPOsRuSeS


- What is the formula in the fifth record?
  MnP2OsS